<a>
Entry from the Open Quantum Materials Database: a geometry-optimized KLiMoPt structure (PBE).

Unit cell a=4.892 b=4.892 c=4.892 alpha=60.00 beta=60.00 gamma=60.00
Atoms (fractional coordinates):
1 K 0.000 0.000 0.000
2 Li 0.500 0.500 0.500
3 Mo 0.250 0.250 0.250
4 Pt 0.750 0.750 0.750

***

<b>
Entry from the Open Quantum Materials Database: a geometry-optimized KLiMoPt structure (PBE).

Unit cell a=4.615 b=4.615 c=4.615 alpha=60.00 beta=60.00 gamma=60.00
Atoms (fractional coordinates):
1 K 0.000 0.000 0.000
2 Li 0.250 0.250 0.250
3 Mo 0.750 0.750 0.750
4 Pt 0.500 0.500 0.500

***

Which structure wins on stability? <b> wins.